# 1
Crystalline FeRuCl2 at its relaxed geometry. Source: the Alexandria database, functional PBE.

Computed properties:
Uncorrected formation energy: 206 kJ/mol of formula units
Space group: I-42d
Excess energy over the best structure of this formula in the dataset: 0.586 eV per atom

Unit cell a=5.4314 b=5.4314 c=6.4169 alpha=64.96 beta=64.96 gamma=90.00
Site moments in Bohr magnetons follow the coordinates.
Sites, in units of the cell vectors:
Ru  0.7500  0.2500  0.5000  -0.60
Ru  0.0000  0.0000  0.0000  -0.61
Cl  0.8750  0.8599  0.7500  0.03
Cl  0.1401  0.6250  0.2500  0.03
Cl  0.6099  0.1250  0.2500  0.03
Cl  0.3750  0.3901  0.7500  0.03
Fe  0.5000  0.5000  0.0000  2.73
Fe  0.2500  0.7500  0.5000  2.73

***

# 2
Crystalline Fe2RuCl at its relaxed geometry. Source: the Alexandria database, functional PBE.

Computed properties:
Uncorrected formation energy: 130 kJ/mol of formula units
Space group: R-3m
Excess energy over the best structure of this formula in the dataset: 0.082 eV per atom

Unit cell a=8.1331 b=8.1331 c=8.1331 alpha=20.03 beta=20.03 gamma=20.03
Site moments in Bohr magnetons follow the coordinates.
Sites, in units of the cell vectors:
Cl  0.7500  0.7500  0.7500  0.13
Ru  0.2500  0.2500  0.2500  -0.11
Fe  0.0019  0.0019  0.0019  2.73
Fe  0.4981  0.4981  0.4981  2.73

***

# 3
Crystalline FeRuCl at its relaxed geometry. Source: the Alexandria database, functional PBE.

Computed properties:
Uncorrected formation energy: 101 kJ/mol of formula units
Space group: Imm2
Excess energy over the best structure of this formula in the dataset: 0.000 eV per atom

Unit cell a=5.8981 b=5.8980 c=5.8980 alpha=151.65 beta=150.94 gamma=41.05
Site moments in Bohr magnetons follow the coordinates.
Sites, in units of the cell vectors:
Fe  0.4835  0.3168  0.1668  2.59
Cl  0.6608  0.9944  0.6664  0.00
Ru  0.8557  0.6889  0.1668  0.01

***

# 4
Crystalline FeRuCl2 at its relaxed geometry. Source: the Alexandria database, functional PBE.

Computed properties:
Uncorrected formation energy: 7 kJ/mol of formula units
Space group: Cm
Excess energy over the best structure of this formula in the dataset: 0.070 eV per atom

Unit cell a=3.5788 b=3.5788 c=7.5691 alpha=91.88 beta=91.88 gamma=59.94
Site moments in Bohr magnetons follow the coordinates.
Sites, in units of the cell vectors:
Cl  0.8872  0.8872  0.8904  0.07
Cl  0.1956  0.1956  0.3567  -0.06
Ru  0.8714  0.8714  0.5481  0.37
Fe  0.5457  0.5457  0.7048  2.55

***

# 5
Crystalline Fe2RuCl at its relaxed geometry. Source: the Alexandria database, functional PBE.

Computed properties:
Uncorrected formation energy: 237 kJ/mol of formula units
Space group: Cmmm
Excess energy over the best structure of this formula in the dataset: 0.358 eV per atom

Unit cell a=4.6960 b=4.6960 c=2.7884 alpha=90.00 beta=90.00 gamma=113.04
Site moments in Bohr magnetons follow the coordinates.
Sites, in units of the cell vectors:
Cl  0.0000  0.5000  0.5000  0.15
Fe  0.5000  0.5000  0.0000  2.99
Fe  0.0000  0.0000  0.0000  2.99
Ru  0.5000  0.0000  0.5000  0.44

***

# 6
Crystalline Fe2RuCl8 at its relaxed geometry. Source: the Alexandria database, functional PBE.

Computed properties:
Uncorrected formation energy: -715 kJ/mol of formula units
Space group: C2/m

Unit cell a=5.8892 b=7.6336 c=7.6336 alpha=74.29 beta=89.00 gamma=89.00
Site moments in Bohr magnetons follow the coordinates.
Sites, in units of the cell vectors:
Fe  0.6259  0.8273  0.8273  3.62
Fe  0.3741  0.1727  0.1727  3.62
Cl  0.3031  0.3466  0.3466  0.25
Cl  0.2218  0.2704  0.8928  0.14
Cl  0.2218  0.8928  0.2704  0.14
Cl  0.7782  0.1072  0.7296  0.14
Cl  0.6969  0.6534  0.6534  0.25
Cl  0.7782  0.7296  0.1072  0.14
Cl  0.7602  0.1605  0.1605  0.14
Cl  0.2398  0.8395  0.8395  0.14
Ru  0.0000  0.0000  0.0000  0.64

***

# 7
Crystalline Fe2RuCl at its relaxed geometry. Source: the Alexandria database, functional PBE.

Computed properties:
Uncorrected formation energy: 325 kJ/mol of formula units
Space group: F-43m
Excess energy over the best structure of this formula in the dataset: 0.587 eV per atom

Unit cell a=4.2640 b=4.2640 c=4.2640 alpha=60.00 beta=60.00 gamma=60.00
Site moments in Bohr magnetons follow the coordinates.
Sites, in units of the cell vectors:
Fe  0.2500  0.2500  0.2500  2.69
Fe  0.0000  0.0000  0.0000  2.61
Cl  0.5000  0.5000  0.5000  0.08
Ru  0.7500  0.7500  0.7500  0.46

***

# 8
Crystalline Fe2RuCl at its relaxed geometry. Source: the Alexandria database, functional PBE.

Computed properties:
Uncorrected formation energy: 343 kJ/mol of formula units
Space group: Fm-3m
Excess energy over the best structure of this formula in the dataset: 0.633 eV per atom

Unit cell a=4.3584 b=4.3584 c=4.3584 alpha=60.00 beta=60.00 gamma=60.00
Site moments in Bohr magnetons follow the coordinates.
Sites, in units of the cell vectors:
Fe  0.7500  0.7500  0.7500  3.00
Fe  0.2500  0.2500  0.2500  3.00
Cl  0.0000  0.0000  0.0000  0.18
Ru  0.5000  0.5000  0.5000  1.50

***

# 9
Crystalline FeRuCl2 at its relaxed geometry. Source: the Alexandria database, functional PBE.

Computed properties:
Uncorrected formation energy: 35 kJ/mol of formula units
Space group: C2/m
Excess energy over the best structure of this formula in the dataset: 0.142 eV per atom

Unit cell a=7.1410 b=7.1410 c=4.1938 alpha=84.58 beta=84.58 gamma=25.31
Site moments in Bohr magnetons follow the coordinates.
Sites, in units of the cell vectors:
Ru  0.7500  0.7500  0.7500  1.59
Cl  0.6157  0.6157  0.4542  0.13
Cl  0.8843  0.8843  0.0458  0.13
Fe  0.2500  0.2500  0.2500  3.22

***

# 10
Crystalline FeRuCl2 at its relaxed geometry. Source: the Alexandria database, functional PBE.

Computed properties:
Uncorrected formation energy: 373 kJ/mol of formula units
Space group: Fm-3m
Excess energy over the best structure of this formula in the dataset: 1.018 eV per atom

Unit cell a=4.2869 b=4.2869 c=4.2869 alpha=60.00 beta=60.00 gamma=60.00
Site moments in Bohr magnetons follow the coordinates.
Sites, in units of the cell vectors:
Fe  0.0000  0.0000  0.0000  0.00
Cl  0.7500  0.7500  0.7500  0.01
Cl  0.2500  0.2500  0.2500  0.01
Ru  0.5000  0.5000  0.5000  0.18

***

# 11
Crystalline FeRuCl2 at its relaxed geometry. Source: the Alexandria database, functional PBE.

Computed properties:
Uncorrected formation energy: 193 kJ/mol of formula units
Space group: Cmmm
Excess energy over the best structure of this formula in the dataset: 0.554 eV per atom

Unit cell a=3.1658 b=3.1658 c=8.0063 alpha=90.00 beta=90.00 gamma=124.39
Site moments in Bohr magnetons follow the coordinates.
Sites, in units of the cell vectors:
Cl  0.0000  0.0000  0.0138  0.01
Cl  0.0000  0.0000  0.4862  0.01
Ru  0.5000  0.5000  0.7500  -1.48
Fe  0.5000  0.5000  0.2500  2.95

***

# 12
Crystalline Fe2RuCl at its relaxed geometry. Source: the Alexandria database, functional PBE.

Computed properties:
Uncorrected formation energy: 240 kJ/mol of formula units
Space group: Immm
Excess energy over the best structure of this formula in the dataset: 0.368 eV per atom

Unit cell a=5.0891 b=5.0891 c=5.0891 alpha=147.78 beta=129.67 gamma=61.02
Site moments in Bohr magnetons follow the coordinates.
Sites, in units of the cell vectors:
Cl  0.2500  0.7500  0.5000  0.09
Fe  0.4882  0.4882  0.0000  2.74
Fe  0.0118  0.0118  0.0000  2.74
Ru  0.7500  0.2500  0.5000  0.31